First-principles (PBE+U) data for crystalline Li2DyCoF8 at its relaxed geometry, as listed in the Alexandria database.

Lattice parameters (Å, degrees): 4.7475 4.7556 6.5658 91.11 90.90 91.64
With the nearest neighbours (Å) after each atom.
Atoms (fractional coordinates):
1 Li 0.0021 0.9997 0.2538  4 F 1.95-2.05
2 Li 0.9979 0.0003 0.7462  4 F 1.95-2.05
3 Dy 0.5000 0.5000 0.5000  6 F 2.14-2.25
4 Co 0.5000 0.5000 0.0000  4 F 1.81-1.92
5 F 0.1840 0.8132 0.5001  2 Li 2.05, 1 Dy 2.14
6 F 0.2331 0.7642 0.0008  1 Co 1.81
7 F 0.2958 0.2934 0.2316  1 Li 1.95, 1 Co 2.07
8 F 0.3070 0.3055 0.7770  1 Co 1.92, 1 Li 2.04
9 F 0.6931 0.6945 0.2230  1 Co 1.92, 1 Li 2.04
10 F 0.7042 0.7066 0.7684  1 Li 1.95, 1 Co 2.07
11 F 0.7669 0.2358 0.9992  1 Co 1.81
12 F 0.8160 0.1868 0.4999  2 Li 2.05, 1 Dy 2.14

Values from the calculation:
- M_tot: 2.01 μB/cell
- Mass density: 4.34 Mg/m³
- SG: P-1
- Uncorrected energy: -5.3016 eV/atom